Density functional theory data (PBE-GGA) for a geometry-optimized Ir2RuRh structure.

Values from the calculation:
Energy of formation from the pure elements: 1.4 eV/f.u.

a b c (Å): 2.696 4.677 9.369
angles (deg): 90.00 90.00 90.00
Space group Cmm2 (No. 35)
Asymmetric unit:
Ir 0.000 0.000 0.000 (multiplicity 2)
Ir 0.000 0.500 0.252 (multiplicity 2)
Ru 0.000 0.000 0.500 (multiplicity 2)
Rh 0.000 0.500 0.749 (multiplicity 2)